P.
# Si2PtAu

Si2PtAu after structural relaxation (PBE-GGA, the Alexandria database).

```
Si2PtAu
1.0
2.880 0.000 0.000
0.000 2.880 0.000
0.000 0.000 7.603
Si Pt Au
2 1 1
Direct
0.000 0.000 0.000
0.500 0.500 0.249
0.500 0.500 0.803
0.000 0.000 0.503
```

=====

Q.
# Si2PtAu

Si2PtAu after structural relaxation (PBE-GGA, the Alexandria database).

```
Si2PtAu
1.0
1.605 0.927 7.335
-1.605 0.927 7.335
0.000 -1.854 7.335
Si Pt Au
2 1 1
Direct
0.245 0.245 0.245
0.755 0.755 0.755
0.500 0.500 0.500
0.000 0.000 0.000
```

=====

R.
# Si2PtAu

Si2PtAu after structural relaxation (PBE-GGA, the Alexandria database).

```
Si2PtAu
1.0
3.562 0.000 0.000
0.000 3.627 0.000
0.000 0.000 5.036
Si Pt Au
2 1 1
Direct
0.000 0.000 0.000
0.500 0.500 0.358
0.500 0.500 0.881
0.000 0.000 0.495
```

=====

S.
# Si2PtAu

Si2PtAu after structural relaxation (PBE-GGA, the Alexandria database).

```
Si2PtAu
1.0
4.927 -1.738 0.000
4.927 1.738 0.000
-1.276 0.000 3.989
Si Pt Au
2 1 1
Direct
0.000 0.000 0.000
0.229 0.229 0.942
0.770 0.770 0.593
0.468 0.468 0.397
```

=====

Which of them is most stable, and which least? Most stable: S; least stable: P.

=====

P.
# Si2PtAu

Si2PtAu after structural relaxation (PBE-GGA, the Alexandria database).

```
Si2PtAu
1.0
-1.959 1.959 4.105
1.959 -1.959 4.105
1.959 1.959 -4.105
Si Pt Au
2 1 1
Direct
0.000 0.000 0.000
0.750 0.250 0.500
0.500 0.500 0.000
0.250 0.750 0.500
```

=====

Q.
# Si2PtAu

Si2PtAu after structural relaxation (PBE-GGA, the Alexandria database).

```
Si2PtAu
1.0
4.343 0.000 0.000
0.000 4.086 0.000
-1.127 0.000 4.309
Si Pt Au
2 1 1
Direct
0.191 0.000 0.352
0.809 0.000 0.648
0.500 0.500 0.500
0.000 0.500 0.000
```

=====

R.
# Si2PtAu

Si2PtAu after structural relaxation (PBE-GGA, the Alexandria database).

```
Si2PtAu
1.0
-1.371 2.418 5.076
1.371 -2.418 5.076
1.371 2.418 -5.076
Si Pt Au
2 1 1
Direct
0.213 0.213 0.000
0.787 0.787 0.000
0.000 0.500 0.500
0.500 0.000 0.500
```

=====

Which of them is most stable, and which least? Most stable: Q; least stable: R.

=====

P.
# Si2PtAu

Si2PtAu after structural relaxation (PBE-GGA, the Alexandria database).

```
Si2PtAu
1.0
3.384 0.000 0.000
0.000 4.762 0.000
-0.938 0.000 4.233
Si Pt Au
2 1 1
Direct
0.000 0.000 0.000
0.391 0.500 0.288
0.619 0.000 0.410
0.974 0.500 0.751
```

=====

Q.
# Si2PtAu

Si2PtAu after structural relaxation (PBE-GGA, the Alexandria database).

```
Si2PtAu
1.0
-2.903 2.903 4.976
2.903 -2.903 4.976
2.903 2.903 -4.976
Si Pt Au
4 2 2
Direct
0.107 0.625 0.982
0.375 0.357 0.482
0.643 0.125 0.018
0.875 0.893 0.518
0.000 0.000 0.000
0.750 0.250 0.500
0.250 0.750 0.500
0.500 0.500 0.000
```

=====

R.
# Si2PtAu

Si2PtAu after structural relaxation (PBE-GGA, the Alexandria database).

```
Si2PtAu
1.0
3.039 0.000 0.000
0.000 3.039 0.000
0.000 0.000 6.997
Si Pt Au
2 1 1
Direct
0.000 0.000 0.225
0.000 0.000 0.775
0.500 0.500 0.000
0.500 0.500 0.500
```

=====

S.
# Si2PtAu

Si2PtAu after structural relaxation (PBE-GGA, the Alexandria database).

```
Si2PtAu
1.0
0.000 3.192 3.192
3.192 0.000 3.192
3.192 3.192 0.000
Si Pt Au
2 1 1
Direct
0.000 0.000 0.000
0.250 0.250 0.250
0.500 0.500 0.500
0.750 0.750 0.750
```

=====

Which of them is most stable, and which least? Most stable: P; least stable: S.

=====

P.
# Si2PtAu

Si2PtAu after structural relaxation (PBE-GGA, the Alexandria database).

```
Si2PtAu
1.0
1.600 0.924 7.350
-1.600 0.924 7.350
0.000 -1.847 7.350
Si Pt Au
2 1 1
Direct
0.000 0.000 0.000
0.253 0.253 0.253
0.736 0.736 0.736
0.507 0.507 0.507
```

=====

Q.
# Si2PtAu

Si2PtAu after structural relaxation (PBE-GGA, the Alexandria database).

```
Si2PtAu
1.0
3.780 -1.583 0.000
3.780 1.583 0.000
-1.409 0.000 5.478
Si Pt Au
2 1 1
Direct
0.246 0.246 0.219
0.754 0.754 0.781
0.500 0.500 0.000
0.000 0.000 0.500
```

=====

Which of them is most stable, and which least? Most stable: Q; least stable: P.

=====

P.
# SiPtAu

SiPtAu after structural relaxation (PBE-GGA, the Alexandria database).

```
SiPtAu
1.0
3.582 0.000 0.000
-1.791 3.102 0.000
0.000 0.000 4.726
Si Pt Au
1 1 1
Direct
0.000 0.000 0.000
0.333 0.667 0.751
0.667 0.333 0.341
```

=====

Q.
# SiPtAu

SiPtAu after structural relaxation (PBE-GGA, the Alexandria database).

```
SiPtAu
1.0
-1.599 1.599 4.714
1.599 -1.599 4.714
1.599 1.599 -4.714
Si Pt Au
1 1 1
Direct
0.000 0.000 0.000
0.385 0.385 0.000
0.684 0.684 0.000
```

=====

Which of them is most stable, and which least? Most stable: P; least stable: Q.

=====

P.
# SiPtAu

SiPtAu after structural relaxation (PBE-GGA, the Alexandria database).

```
SiPtAu
1.0
6.930 0.000 0.000
0.000 6.305 0.000
-1.570 0.000 4.722
Si Pt Au
4 4 4
Direct
0.117 0.044 0.316
0.117 0.456 0.816
0.883 0.544 0.184
0.883 0.956 0.684
0.215 0.095 0.838
0.215 0.405 0.338
0.785 0.595 0.662
0.785 0.905 0.162
0.413 0.668 0.813
0.413 0.832 0.313
0.587 0.168 0.687
0.587 0.332 0.187
```

=====

Q.
# SiPtAu

SiPtAu after structural relaxation (PBE-GGA, the Alexandria database).

```
SiPtAu
1.0
4.134 0.000 0.000
-2.067 3.580 0.000
0.000 0.000 3.352
Si Pt Au
1 1 1
Direct
0.000 0.000 0.000
0.667 0.333 0.996
0.333 0.667 0.496
```

=====

Which of them is most stable, and which least? Most stable: P; least stable: Q.